First-principles (PBE with a Hubbard U) data for a relaxed structure of Nd3Al2CrO9, as listed in the Alexandria database.

Output
**Total moment**: 3.0 Bohr magnetons per cell
**Total DFT energy (no corrections)**: -7.9486 eV/atom

Cell lengths 5.3906, 5.3906, 6.6088 Å; angles 90.00, 90.00, 120.00 degrees
Space group P-3m1 (No. 164)
Inequivalent atoms, fractional coordinates:
Nd 0.0000 0.0000 0.0000 x1
Nd 0.3333 0.6667 0.6660 x2
Al 0.3333 0.6667 0.1615 x2
Cr 0.0000 0.0000 0.5000 x1
O 0.0000 0.5000 0.0000 x3
O 0.1704 0.3408 0.3278 x6